Record 1
The following is a DFT calculation (PBE) of an optimized crystal structure of Rb3Ce3SiO8.

```
data_Rb3Ce3SiO8
_symmetry_space_group_name_H-M 'P 1'
_symmetry_Int_Tables_number 1
_cell_length_a 7.113
_cell_length_b 7.112
_cell_length_c 7.727
_cell_angle_alpha 117.39
_cell_angle_beta 90.00
_cell_angle_gamma 120.00
loop_
_symmetry_equiv_pos_as_xyz
'x,y,z'
loop_
_atom_site_label
_atom_site_type_symbol
_atom_site_fract_x
_atom_site_fract_y
_atom_site_fract_z
_atom_site_occupancy
O1 O 0.780 0.059 0.339 1
O2 O 0.727 0.454 0.680 1
O3 O 0.780 0.560 0.339 1
Ce1 Ce 0.500 0.500 0.500 1
Si1 Si 0.000 0.000 0.500 1
O4 O 0.279 0.059 0.339 1
Ce2 Ce 0.000 0.500 0.500 1
O5 O 0.220 0.941 0.661 1
Ce3 Ce 0.500 0.000 0.500 1
Rb1 Rb 0.500 0.500 0.000 1
O6 O 0.220 0.440 0.661 1
Rb2 Rb 0.000 0.000 0.000 1
O7 O 0.721 0.941 0.661 1
Rb3 Rb 0.000 0.500 0.000 1
O8 O 0.273 0.546 0.320 1
```

Fermi-level density of states	7.5	states/eV per cell
uncorrected formation energy	-2384	meV/atom


Record 2
The following is a DFT calculation (PBE) of an optimized crystal structure of CsScTe2.

```
data_CsScTe2
_symmetry_space_group_name_H-M 'P 1'
_symmetry_Int_Tables_number 1
_cell_length_a 9.960
_cell_length_b 4.355
_cell_length_c 4.357
_cell_angle_alpha 120.02
_cell_angle_beta 102.63
_cell_angle_gamma 102.58
loop_
_symmetry_equiv_pos_as_xyz
'x,y,z'
loop_
_atom_site_label
_atom_site_type_symbol
_atom_site_fract_x
_atom_site_fract_y
_atom_site_fract_z
_atom_site_occupancy
Te1 Te 0.722 0.016 0.461 1
Te2 Te 0.081 0.041 0.153 1
Sc1 Sc 0.901 0.529 0.307 1
Cs1 Cs 0.401 0.029 0.806 1
```

Fermi-level density of states	0.0	states/eV per cell
uncorrected formation energy	-1220	meV/atom